Entry 1:
# CsCeNpS4 | Alexandria via LeMat-Bulk | PBE | optimized geometry
data_CsCeNpS4
_space_group_name_H-M_alt 'I m m a'
_space_group_IT_number 74
_space_group_name_Hall '-I 2b 2'
_cell_length_a 8.512
_cell_length_b 8.824
_cell_length_c 12.257
_cell_angle_alpha 90.00
_cell_angle_beta 90.00
_cell_angle_gamma 90.00
loop_
_atom_site_label
_atom_site_type_symbol
_atom_site_fract_x
_atom_site_fract_y
_atom_site_fract_z
Cs1 Cs 0.000 0.250 0.132
Ce1 Ce 0.000 0.000 0.500
Np1 Np 0.250 0.250 0.750
S1 S 0.000 0.055 0.728
S2 S 0.204 0.250 0.528
# - Final energy: -187.199 eV for the cell shown
# - DOS(E_F): 54.84 states/eV/cell

***

Entry 2:
# Pm2Zn15Ag2 | Alexandria via LeMat-Bulk | PBE | optimized geometry
data_Pm2Zn15Ag2
_space_group_name_H-M_alt 'R -3 m'
_space_group_IT_number 166
_space_group_name_Hall '-R 3 2"'
_cell_length_a 9.1034
_cell_length_b 9.1034
_cell_length_c 13.3173
_cell_angle_alpha 90.00
_cell_angle_beta 90.00
_cell_angle_gamma 120.00
loop_
_atom_site_label
_atom_site_type_symbol
_atom_site_fract_x
_atom_site_fract_y
_atom_site_fract_z
Pm1 Pm 0.0000 0.0000 0.1591
Zn1 Zn 0.0000 0.2946 0.5000
Zn2 Zn 0.0000 0.5000 0.0000
Zn3 Zn 0.0092 0.5046 0.6527
Ag1 Ag 0.0000 0.0000 0.3941
# - Energy of formation: -0.25 eV per atom
# - DOS(E_F): 20.24 states/eV/cell

***

Entry 3:
# Ba4TlN2 | Alexandria via LeMat-Bulk | PBE | optimized geometry
data_Ba4TlN2
_space_group_name_H-M_alt 'C m c m'
_space_group_IT_number 63
_space_group_name_Hall '-C 2c 2'
_cell_length_a 4.153
_cell_length_b 14.178
_cell_length_c 15.204
_cell_angle_alpha 90.00
_cell_angle_beta 90.00
_cell_angle_gamma 90.00
loop_
_atom_site_label
_atom_site_type_symbol
_atom_site_fract_x
_atom_site_fract_y
_atom_site_fract_z
Ba1 Ba 0.000 0.000 0.000
Ba2 Ba 0.000 0.260 0.096
Ba3 Ba 0.000 0.407 0.750
Tl1 Tl 0.000 0.109 0.750
N1 N 0.000 0.358 0.564
# - Final energy: -113.611 eV for the cell shown
# - DOS(E_F): 23.17 states/eV/cell

***

Entry 4:
# Sm2GaSn2 | Alexandria via LeMat-Bulk | PBE | optimized geometry
data_Sm2GaSn2
_space_group_name_H-M_alt 'C m c 21'
_space_group_IT_number 36
_cell_length_a 4.547
_cell_length_b 17.856
_cell_length_c 6.856
_cell_angle_alpha 90.00
_cell_angle_beta 90.00
_cell_angle_gamma 90.00
loop_
_space_group_symop_operation_xyz
'x,y,z'
'-x,-y,z+1/2'
'-x,y,z'
'x,-y,z+1/2'
'x+1/2,y+1/2,z'
'-x+1/2,-y+1/2,z+1/2'
'-x+1/2,y+1/2,z'
'x+1/2,-y+1/2,z+1/2'
loop_
_atom_site_label
_atom_site_type_symbol
_atom_site_fract_x
_atom_site_fract_y
_atom_site_fract_z
Sm1 Sm 0.000 0.010 0.000
Sm2 Sm 0.000 0.208 0.297
Ga1 Ga 0.000 0.410 0.180
Sn1 Sn 0.000 0.170 0.779
Sn2 Sn 0.000 0.413 0.767
# - Energy of formation: -0.55 eV per atom
# - DOS(E_F): 8.79 states/eV/cell